(1)
An optimized crystal structure of Mg6InRh5, computed with PBE.

Unit cell a=7.6761 b=7.6761 c=7.6761 alpha=146.25 beta=129.69 gamma=61.96
Closest atoms and distances in Å follow each position.
Atoms (fractional coordinates):
Mg 0.0565 0.3241 0.7324  7 Rh 2.68-2.85, 1 In 2.90, 2 Mg 2.97
Mg 0.2184 0.0000 0.2184  6 Rh 2.65-2.71, 1 Mg 2.85, 2 In 2.89
Mg 0.4083 0.6759 0.7324  7 Rh 2.68-2.85, 1 In 2.90, 2 Mg 2.97
Mg 0.5917 0.3241 0.2676  7 Rh 2.68-2.85, 1 In 2.90, 2 Mg 2.97
Mg 0.7816 0.0000 0.7816  6 Rh 2.65-2.71, 1 Mg 2.85, 2 In 2.89
Mg 0.9435 0.6759 0.2676  7 Rh 2.68-2.85, 1 In 2.90, 2 Mg 2.97
In 0.5000 0.5000 0.0000  8 Mg 2.89-2.90, 4 Rh 2.99
Rh 0.0000 0.5000 0.5000  8 Mg 2.65-2.77
Rh 0.1701 0.1701 0.0000  8 Mg 2.65-2.70
Rh 0.3490 0.8490 0.5000  8 Mg 2.71-2.85, 2 In 2.99
Rh 0.6510 0.1510 0.5000  8 Mg 2.71-2.85, 2 In 2.99
Rh 0.8299 0.8299 0.0000  8 Mg 2.65-2.70

Output
Space group ... Immm, No. 71
VASP energy ... -54.8 eV/f.u.
ΔH_f (0 K) ... -479 meV per atom
Magnetization ... 0.0 μB/f.u.

***

(2)
An optimized crystal structure of Mg8InRh2, computed with PBE.

Unit cell a=4.7124 b=6.5604 c=8.0846 alpha=113.22 beta=105.45 gamma=92.00
Closest atoms and distances in Å follow each position.
Atoms (fractional coordinates):
Mg 0.0000 0.0000 0.0000  3 Rh 2.78-2.97, 1 In 2.93, 3 Mg 2.94-3.00
Mg 0.0244 0.4818 0.0603  3 Rh 2.72-2.77, 6 Mg 2.94-3.04
Mg 0.2196 0.3573 0.4181  1 Rh 2.70, 2 Mg 2.92-2.97, 2 In 2.95-3.00
Mg 0.3761 0.8767 0.6553  2 Rh 2.68-2.69, 1 Mg 2.82, 1 In 2.98
Mg 0.4521 0.5918 0.8886  1 Rh 2.69, 2 Mg 2.94-2.95, 2 In 2.96-2.97
Mg 0.6206 0.0754 0.2484  3 Rh 2.72-2.76, 5 Mg 2.92-2.98
Mg 0.6486 0.6552 0.3082  3 Rh 2.79-2.94, 1 In 2.93, 4 Mg 2.95-3.12
Mg 0.9183 0.1423 0.6547  4 Mg 2.82-3.05, 1 In 2.92, 2 Rh 3.00-3.04
In 0.8453 0.5826 0.6538  9 Mg 2.92-3.10
Rh 0.1499 0.9125 0.3273  9 Mg 2.69-3.00
Rh 0.4789 0.2412 0.9825  8 Mg 2.68-2.97

Output
Space group ... P1, No. 1
VASP energy ... -32.6 eV/f.u.
ΔH_f (0 K) ... -220 meV per atom
Magnetization ... 0.0 μB/f.u.

***

(3)
An optimized crystal structure of MgInRh2, computed with PBE.

Unit cell a=5.4598 b=5.4598 c=5.4598 alpha=146.40 beta=132.24 gamma=59.66
Closest atoms and distances in Å follow each position.
Atoms (fractional coordinates):
Mg 0.0000 0.0000 0.0000  6 Rh 2.72-2.78, 2 In 3.03
In 0.7274 0.2274 0.5000  6 Rh 2.72-2.81, 2 Mg 3.03
Rh 0.2411 0.7411 0.5000  4 In 2.72, 2 Mg 2.78, 2 Rh 2.78
Rh 0.4826 0.4826 0.0000  4 Mg 2.72, 2 Rh 2.78, 2 In 2.81

Output
Space group ... Imm2, No. 44
VASP energy ... -20.3 eV/f.u.
ΔH_f (0 K) ... -327 meV per atom
Magnetization ... 0.0 μB/f.u.